Record 1
The following is a GGA-PBE calculation of a geometry-optimized CeMg3Cd9 structure, from Alexandria via LeMat-Bulk.

Energy of formation = -138.3 meV/atom

Cell: 7.6356 7.6356 7.6119 Å, 98.82 98.82 133.91°
Fractional coordinates of all 13 atoms:
Ce1 0.0000 0.0000 0.0000
Mg1 0.0000 0.5000 0.0000
Mg2 0.5000 0.0000 0.0000
Mg3 0.5000 0.5000 0.5000
Cd1 0.0000 0.0000 0.5000
Cd2 0.0013 0.3512 0.3460
Cd3 0.2903 0.5059 0.7862
Cd4 0.3512 0.0013 0.3460
Cd5 0.4941 0.7097 0.2138
Cd6 0.5059 0.2903 0.7862
Cd7 0.6488 0.9987 0.6540
Cd8 0.7097 0.4941 0.2138
Cd9 0.9987 0.6488 0.6540

Record 2
The following is a GGA-PBE calculation of a geometry-optimized ErHPb structure, from Alexandria via LeMat-Bulk.

Relative energy among the computed polymorphs = 0.297 eV per atom

Cell: 6.2519 6.2519 6.2519 Å, 150.02 150.02 42.92°
Fractional coordinates of all 3 atoms:
Er1 0.0000 0.0000 0.0000
H1 0.5408 0.5408 0.0000
Pb1 0.2777 0.2777 0.0000

Record 3
The following is a GGA-PBE calculation of a geometry-optimized Pm5Bi4I structure, from Alexandria via LeMat-Bulk.

Formation energy without anion corrections = -0.9262 eV per atom

Cell: 12.0761 12.0761 12.0761 Å, 158.08 149.00 38.29°
Fractional coordinates of all 10 atoms:
Pm1 0.0000 0.0000 0.0000
Pm2 0.1988 0.1988 0.0000
Pm3 0.3924 0.3924 0.0000
Pm4 0.6076 0.6076 0.0000
Pm5 0.8012 0.8012 0.0000
Bi1 0.0985 0.5985 0.5000
Bi2 0.2984 0.7984 0.5000
Bi3 0.7016 0.2016 0.5000
Bi4 0.9015 0.4015 0.5000
I1 0.5000 0.0000 0.5000

Record 4
The following is a GGA-PBE calculation of a geometry-optimized BeAg2Hg structure, from Alexandria via LeMat-Bulk.

Energy of formation = 260.3 meV/atom
Relative energy among the computed polymorphs = 0.109 eV per atom

Cell: 2.9653 4.0393 5.7693 Å, 90.00 102.70 90.00°
Fractional coordinates of all 4 atoms:
Be1 0.0000 0.0000 0.0000
Ag1 0.3717 0.5000 0.2156
Ag2 0.6283 0.5000 0.7844
Hg1 0.0000 0.0000 0.5000

Record 5
The following is a GGA-PBE calculation of a geometry-optimized Li5B8C8 structure, from Alexandria via LeMat-Bulk.

Energy of formation = -132.8 meV/atom
Relative energy among the computed polymorphs = 0.012 eV per atom

Cell: 7.7278 7.7278 9.4257 Å, 106.57 106.57 20.12°
Fractional coordinates of all 21 atoms:
Li1 0.0000 0.0000 0.0000
Li2 0.2458 0.2458 0.1412
Li3 0.4986 0.4986 0.2684
Li4 0.5014 0.5014 0.7316
Li5 0.7542 0.7542 0.8588
B1 0.1270 0.1270 0.3929
B2 0.1276 0.1276 0.8946
B3 0.3702 0.3702 0.3584
B4 0.3817 0.3817 0.8574
B5 0.6183 0.6183 0.1426
B6 0.6298 0.6298 0.6416
B7 0.8724 0.8724 0.1054
B8 0.8730 0.8730 0.6071
C1 0.1158 0.1158 0.2238
C2 0.1304 0.1304 0.7301
C3 0.3725 0.3725 0.5219
C4 0.3753 0.3753 0.0217
C5 0.6247 0.6247 0.9783
C6 0.6275 0.6275 0.4781
C7 0.8696 0.8696 0.2699
C8 0.8842 0.8842 0.7762

Record 6
The following is a GGA-PBE calculation of a geometry-optimized CsAlRu3 structure, from Alexandria via LeMat-Bulk.

Energy of formation = 2806.4 meV/atom
Relative energy among the computed polymorphs = 1.372 eV per atom

Cell: 4.9051 4.9051 4.9051 Å, 90.00 90.00 90.00°
Fractional coordinates of all 5 atoms:
Cs1 0.0000 0.0000 0.0000
Al1 0.5000 0.5000 0.5000
Ru1 0.0000 0.0000 0.5000
Ru2 0.0000 0.5000 0.0000
Ru3 0.5000 0.0000 0.0000

Record 7
The following is a GGA-PBE calculation of a geometry-optimized Mg3TiTe structure, from Alexandria via LeMat-Bulk.

Formation energy without anion corrections = 0.7463 eV per atom
Relative energy among the computed polymorphs = 0.000 eV per atom

Cell: 5.3931 5.3931 5.3931 Å, 90.00 90.00 90.00°
Fractional coordinates of all 5 atoms:
Mg1 0.0000 0.0000 0.5000
Mg2 0.0000 0.5000 0.0000
Mg3 0.5000 0.0000 0.0000
Ti1 0.5000 0.5000 0.5000
Te1 0.0000 0.0000 0.0000

Record 8
The following is a GGA-PBE calculation of a geometry-optimized BaAgOs2O8 structure, from Alexandria via LeMat-Bulk.

Formation energy without anion corrections = -1.1327 eV per atom

Cell: 5.9699 5.9699 7.8107 Å, 90.00 90.00 120.00°
Fractional coordinates of all 12 atoms:
Ba1 0.0000 0.0000 0.0000
Ag1 0.0000 0.0000 0.5000
Os1 0.3333 0.6667 0.7780
Os2 0.6667 0.3333 0.2220
O1 0.1644 0.3321 0.7182
O2 0.1678 0.8356 0.7182
O3 0.3321 0.1678 0.2818
O4 0.3333 0.6667 0.0080
O5 0.6667 0.3333 0.9920
O6 0.6679 0.8322 0.7182
O7 0.8322 0.1644 0.2818
O8 0.8356 0.6679 0.2818

Record 9
The following is a GGA-PBE calculation of a geometry-optimized CaHoRh4 structure, from Alexandria via LeMat-Bulk.

Energy of formation = -609.1 meV/atom

Cell: 5.3347 5.3347 5.3347 Å, 60.00 60.00 60.00°
Fractional coordinates of all 6 atoms:
Ca1 0.0000 0.0000 0.0000
Ho1 0.2500 0.2500 0.2500
Rh1 0.1251 0.6250 0.6250
Rh2 0.6250 0.1251 0.6250
Rh3 0.6250 0.6250 0.1251
Rh4 0.6250 0.6250 0.6250

Record 10
The following is a GGA-PBE calculation of a geometry-optimized SbPb2S4 structure, from Alexandria via LeMat-Bulk.

Formation energy without anion corrections = -0.2573 eV per atom
Relative energy among the computed polymorphs = 0.000 eV per atom

Cell: 13.3149 13.3149 13.3149 Å, 17.50 17.50 17.50°
Fractional coordinates of all 7 atoms:
Sb1 0.0000 0.0000 0.0000
Pb1 0.2366 0.2366 0.2366
Pb2 0.7634 0.7634 0.7634
S1 0.1323 0.1323 0.1323
S2 0.3717 0.3717 0.3717
S3 0.6283 0.6283 0.6283
S4 0.8677 0.8677 0.8677

Record 11
The following is a GGA-PBE calculation of a geometry-optimized CaNpU2As4 structure, from Alexandria via LeMat-Bulk.

Energy of formation = -792.7 meV/atom

Cell: 7.1368 7.1368 7.1368 Å, 131.94 131.94 70.33°
Fractional coordinates of all 8 atoms:
Ca1 0.0000 0.0000 0.0000
Np1 0.2500 0.7500 0.5000
U1 0.5000 0.5000 0.0000
U2 0.7500 0.2500 0.5000
As1 0.2563 0.2563 0.0000
As2 0.5019 0.0019 0.5000
As3 0.7437 0.7437 0.0000
As4 0.9981 0.4981 0.5000

Record 12
The following is a GGA-PBE calculation of a geometry-optimized HfSbTe2Br structure, from Alexandria via LeMat-Bulk.

Formation energy without anion corrections = -0.0444 eV per atom
Relative energy among the computed polymorphs = 0.000 eV per atom

Cell: 5.4580 5.4580 5.6913 Å, 90.00 90.00 90.00°
Fractional coordinates of all 5 atoms:
Hf1 0.0000 0.0000 0.0000
Sb1 0.0000 0.0000 0.5000
Te1 0.0000 0.5000 0.0000
Te2 0.5000 0.0000 0.0000
Br1 0.5000 0.5000 0.5000

Record 13
The following is a GGA-PBE calculation of a geometry-optimized TaTl2 structure, from Alexandria via LeMat-Bulk.

Energy of formation = 1025.2 meV/atom
Relative energy among the computed polymorphs = 0.557 eV per atom

Cell: 4.8458 4.8458 4.8458 Å, 60.00 60.00 60.00°
Fractional coordinates of all 3 atoms:
Ta1 0.0000 0.0000 0.0000
Tl1 0.2500 0.2500 0.2500
Tl2 0.7500 0.7500 0.7500

Record 14
The following is a GGA-PBE calculation of a geometry-optimized La3ZrCd structure, from Alexandria via LeMat-Bulk.

Energy of formation = 390.4 meV/atom
Relative energy among the computed polymorphs = 0.000 eV per atom

Cell: 5.7320 5.7320 5.7320 Å, 90.00 90.00 90.00°
Fractional coordinates of all 5 atoms:
La1 0.0000 0.0000 0.5000
La2 0.0000 0.5000 0.0000
La3 0.5000 0.0000 0.0000
Zr1 0.0000 0.0000 0.0000
Cd1 0.5000 0.5000 0.5000

Record 15
The following is a GGA-PBE calculation of a geometry-optimized Fe4ReCl structure, from Alexandria via LeMat-Bulk.

Formation energy without anion corrections = 0.7837 eV per atom

Cell: 4.8119 4.8119 4.8119 Å, 60.00 60.00 60.00°
Fractional coordinates of all 6 atoms:
Fe1 0.1246 0.1246 0.1246
Fe2 0.1246 0.1246 0.6261
Fe3 0.1246 0.6261 0.1246
Fe4 0.6261 0.1246 0.1246
Re1 0.7500 0.7500 0.7500
Cl1 0.5000 0.5000 0.5000

Record 16
The following is a GGA-PBE calculation of a geometry-optimized LiMnRePt2 structure, from Alexandria via LeMat-Bulk.

Energy of formation = 815.3 meV/atom

Cell: 4.9057 4.9057 4.5263 Å, 90.00 90.00 90.00°
Fractional coordinates of all 5 atoms:
Li1 0.0000 0.0000 0.0000
Mn1 0.5000 0.5000 0.0000
Re1 0.5000 0.5000 0.5000
Pt1 0.0000 0.5000 0.5000
Pt2 0.5000 0.0000 0.5000

Record 17
The following is a GGA-PBE calculation of a geometry-optimized Li4TlHg2 structure, from Alexandria via LeMat-Bulk.

Energy of formation = -274.6 meV/atom
Relative energy among the computed polymorphs = 0.000 eV per atom

Cell: 7.8803 7.8803 7.8803 Å, 34.93 34.93 34.93°
Fractional coordinates of all 7 atoms:
Li1 0.1096 0.1096 0.1096
Li2 0.3686 0.3686 0.3686
Li3 0.6314 0.6314 0.6314
Li4 0.8904 0.8904 0.8904
Tl1 0.5000 0.5000 0.5000
Hg1 0.2452 0.2452 0.2452
Hg2 0.7548 0.7548 0.7548

Record 18
The following is a GGA-PBE calculation of a geometry-optimized PmHoScHg structure, from Alexandria via LeMat-Bulk.

Energy of formation = -14.2 meV/atom

Cell: 5.2913 5.2913 5.2913 Å, 60.00 60.00 60.00°
Fractional coordinates of all 4 atoms:
Pm1 0.0000 0.0000 0.0000
Ho1 0.7500 0.7500 0.7500
Sc1 0.2500 0.2500 0.2500
Hg1 0.5000 0.5000 0.5000

Record 19
The following is a GGA-PBE calculation of a geometry-optimized MgPa3Mn4N12 structure, from Alexandria via LeMat-Bulk.

Formation energy without anion corrections = -0.3939 eV per atom

Cell: 7.0213 7.0213 7.0213 Å, 104.99 104.99 104.99°
Fractional coordinates of all 20 atoms:
Mg1 0.0000 0.0000 0.0000
Pa1 0.0000 0.5454 0.4546
Pa2 0.4546 0.0000 0.5454
Pa3 0.5454 0.4546 0.0000
Mn1 0.0458 0.5000 0.9542
Mn2 0.5000 0.5000 0.5000
Mn3 0.5000 0.9542 0.0458
Mn4 0.9542 0.0458 0.5000
N1 0.0307 0.6544 0.8039
N2 0.1113 0.8887 0.5000
N3 0.1961 0.3456 0.9693
N4 0.3440 0.6560 0.5000
N5 0.3456 0.9693 0.1961
N6 0.5000 0.1113 0.8887
N7 0.5000 0.3440 0.6560
N8 0.6544 0.8039 0.0307
N9 0.6560 0.5000 0.3440
N10 0.8039 0.0307 0.6544
N11 0.8887 0.5000 0.1113
N12 0.9693 0.1961 0.3456